Entry 1:
# Ho2Al3Fe

A relaxed Ho2Al3Fe crystal (GGA-PBEsol, Alexandria via LeMat-Bulk).

ΔE_f = -2.41 eV/f.u.
spin magnetization = 1.82 μB/f.u.

```
Ho2Al3Fe
1.0
2.7188 1.5697 4.2822
-2.7188 1.5697 4.2822
0.0000 -3.1394 4.2822
Ho Al Fe
2 3 1
direct
0.1263 0.1263 0.1263
0.8737 0.8737 0.8737
0.0000 0.5000 0.5000
0.5000 0.0000 0.5000
0.5000 0.5000 0.0000
0.5000 0.5000 0.5000
```


Entry 2:
# HoAl7Fe5

A relaxed HoAl7Fe5 crystal (GGA-PBEsol, Alexandria via LeMat-Bulk).

ΔE_f = -5.12 eV/f.u.
spin magnetization = 7.51 μB/f.u.

```
HoAl7Fe5
1.0
-2.4751 4.2623 4.2630
2.4751 -4.2623 4.2630
2.4751 4.2623 -4.2630
Ho Al Fe
1 7 5
direct
0.0000 0.0000 0.0000
0.2074 0.4991 0.7082
0.3269 0.9851 0.3418
0.3337 0.3337 0.0000
0.6433 0.9851 0.6582
0.6552 0.6552 0.0000
0.7683 0.2683 0.5000
0.7909 0.4991 0.2918
0.2287 0.7287 0.5000
0.4922 0.4897 0.4967
0.4922 0.9955 0.0025
0.9930 0.4897 0.9975
0.9930 0.9955 0.5033
```


Please write out number 2 again, unchanged.
# HoAl7Fe5

A relaxed HoAl7Fe5 crystal (GGA-PBEsol, Alexandria via LeMat-Bulk).

ΔE_f = -5.12 eV/f.u.
spin magnetization = 7.51 μB/f.u.

```
HoAl7Fe5
1.0
-2.4751 4.2623 4.2630
2.4751 -4.2623 4.2630
2.4751 4.2623 -4.2630
Ho Al Fe
1 7 5
direct
0.0000 0.0000 0.0000
0.2074 0.4991 0.7082
0.3269 0.9851 0.3418
0.3337 0.3337 0.0000
0.6433 0.9851 0.6582
0.6552 0.6552 0.0000
0.7683 0.2683 0.5000
0.7909 0.4991 0.2918
0.2287 0.7287 0.5000
0.4922 0.4897 0.4967
0.4922 0.9955 0.0025
0.9930 0.4897 0.9975
0.9930 0.9955 0.5033
```


- Among the records above, which one has the lowest ΔE_f?
  HoAl7Fe5


- Which value of ΔE_f does entry 1 give?
  -2.41 eV/f.u.


What did the second record say?
# HoAl7Fe5

A relaxed HoAl7Fe5 crystal (GGA-PBEsol, Alexandria via LeMat-Bulk).

ΔE_f = -5.12 eV/f.u.
spin magnetization = 7.51 μB/f.u.

```
HoAl7Fe5
1.0
-2.4751 4.2623 4.2630
2.4751 -4.2623 4.2630
2.4751 4.2623 -4.2630
Ho Al Fe
1 7 5
direct
0.0000 0.0000 0.0000
0.2074 0.4991 0.7082
0.3269 0.9851 0.3418
0.3337 0.3337 0.0000
0.6433 0.9851 0.6582
0.6552 0.6552 0.0000
0.7683 0.2683 0.5000
0.7909 0.4991 0.2918
0.2287 0.7287 0.5000
0.4922 0.4897 0.4967
0.4922 0.9955 0.0025
0.9930 0.4897 0.9975
0.9930 0.9955 0.5033
```